[1]
## BeTcOs2Pt (meta-GGA SCAN)

Data for a crystal of BeTcOs2Pt relaxed with PBEsol.

```
5
Lattice="4.569 0.000 0.000 0.000 4.569 0.000 0.000 0.000 4.721" Properties=species:S:1:pos:R:3 pbc="T T T"
Be 0.000 0.000 0.000
Tc 2.285 2.285 2.361
Os 0.000 2.285 2.361
Os 2.285 0.000 2.361
Pt 2.285 2.285 0.000
```

Energy of formation from the pure elements: 2.23 eV/atom
Final energy: -48.44 eV/atom



[2]
## Be4ReOs (meta-GGA SCAN)

Data for a crystal of Be4ReOs relaxed with PBEsol.

```
6
Lattice="0.000 3.065 3.065 3.065 0.000 3.065 3.065 3.065 0.000" Properties=species:S:1:pos:R:3 pbc="T T T"
Be 2.306 2.306 2.306
Be 3.825 3.825 2.306
Be 3.825 2.306 3.825
Be 2.306 3.825 3.825
Re 4.598 4.598 4.598
Os 0.000 0.000 0.000
```

Energy of formation from the pure elements: -0.37 eV/atom
Final energy: -27.10 eV/atom



[3]
## BeRe2Os (meta-GGA SCAN)

Data for a crystal of BeRe2Os relaxed with PBEsol.

```
8
Lattice="5.034 0.000 0.000 0.000 7.838 0.000 0.000 0.000 2.728" Properties=species:S:1:pos:R:3 pbc="T T T"
Be 0.000 0.000 0.000
Be 2.517 3.919 0.000
Re 1.258 1.960 1.364
Re 1.258 5.879 1.364
Re 3.775 1.960 1.364
Re 3.775 5.879 1.364
Os 0.000 3.919 0.000
Os 2.517 0.000 0.000
```

Energy of formation from the pure elements: 0.20 eV/atom
Final energy: -54.41 eV/atom



[4]
## Be2OsRh (meta-GGA SCAN)

Data for a crystal of Be2OsRh relaxed with PBEsol.

```
8
Lattice="2.751 0.000 0.000 0.000 4.400 0.000 0.000 0.000 7.800" Properties=species:S:1:pos:R:3 pbc="T T T"
Be 0.000 0.000 0.000
Be 0.000 2.200 1.833
Be 1.376 0.000 1.833
Be 1.376 2.200 0.000
Os 0.000 0.000 3.696
Os 1.376 2.200 3.696
Rh 0.000 2.200 6.029
Rh 1.376 0.000 6.029
```

Energy of formation from the pure elements: 0.15 eV/atom
Distance to the lowest polymorph of the same formula: 492 meV/atom
Final energy: -28.44 eV/atom



[5]
## BeOsRh2 (meta-GGA SCAN)

Data for a crystal of BeOsRh2 relaxed with PBEsol.

```
4
Lattice="2.698 0.000 0.000 0.000 2.698 0.000 0.000 0.000 6.605" Properties=species:S:1:pos:R:3 pbc="T T T"
Be 0.000 0.000 0.000
Os 0.000 0.000 3.303
Rh 1.349 1.349 1.428
Rh 1.349 1.349 5.177
```

Energy of formation from the pure elements: -0.33 eV/atom
Final energy: -36.28 eV/atom



[6]
## Be2OsRh (meta-GGA SCAN)

Data for a crystal of Be2OsRh relaxed with PBEsol.

```
4
Lattice="2.594 0.000 0.000 0.000 3.564 0.000 -0.109 0.000 4.878" Properties=species:S:1:pos:R:3 pbc="T T T"
Be 0.090 0.000 1.087
Be 2.395 0.000 3.792
Os 1.297 1.782 0.000
Rh -0.054 1.782 2.439
```

Energy of formation from the pure elements: -0.25 eV/atom
Distance to the lowest polymorph of the same formula: 86 meV/atom
Final energy: -28.84 eV/atom



[7]
## Be2OsRh (meta-GGA SCAN)

Data for a crystal of Be2OsRh relaxed with PBEsol.

```
4
Lattice="2.748 0.000 0.000 0.000 2.748 0.000 0.000 0.000 5.653" Properties=species:S:1:pos:R:3 pbc="T T T"
Be 0.000 0.000 0.000
Be 1.374 1.374 1.083
Os 0.000 0.000 2.459
Rh 1.374 1.374 4.312
```

Energy of formation from the pure elements: -0.34 eV/atom
Distance to the lowest polymorph of the same formula: 0 meV/atom
Final energy: -28.93 eV/atom



[8]
## BeOsRh3 (meta-GGA SCAN)

Data for a crystal of BeOsRh3 relaxed with PBEsol.

```
5
Lattice="4.612 0.000 0.000 0.000 4.612 0.000 0.000 0.000 4.612" Properties=species:S:1:pos:R:3 pbc="T T T"
Be 0.000 0.000 0.000
Os 2.306 2.306 2.306
Rh 0.000 2.306 2.306
Rh 2.306 0.000 2.306
Rh 2.306 2.306 0.000
```

Energy of formation from the pure elements: 1.66 eV/atom
Final energy: -33.85 eV/atom



[9]
## Be2OsRu2 (meta-GGA SCAN)

Data for a crystal of Be2OsRu2 relaxed with PBEsol.

```
10
Lattice="6.239 0.000 0.000 0.000 6.239 0.000 0.000 0.000 2.833" Properties=species:S:1:pos:R:3 pbc="T T T"
Be 0.786 2.333 0.000
Be 2.333 5.453 0.000
Be 3.906 0.786 0.000
Be 5.453 3.906 0.000
Os 0.000 0.000 0.000
Os 3.120 3.120 0.000
Ru 1.045 4.165 1.417
Ru 2.075 1.045 1.417
Ru 4.165 5.194 1.417
Ru 5.194 2.075 1.417
```

Energy of formation from the pure elements: -0.24 eV/atom
Final energy: -30.29 eV/atom



[10]
## Be4OsRu (meta-GGA SCAN)

Data for a crystal of Be4OsRu relaxed with PBEsol.

```
6
Lattice="0.000 3.045 3.045 3.045 0.000 3.045 3.045 3.045 0.000" Properties=species:S:1:pos:R:3 pbc="T T T"
Be 2.287 2.287 2.287
Be 3.803 3.803 2.287
Be 3.803 2.287 3.803
Be 2.287 3.803 3.803
Os 4.567 4.567 4.567
Ru 0.000 0.000 0.000
```

Energy of formation from the pure elements: -0.38 eV/atom
Final energy: -21.07 eV/atom



[11]
## Be3OsS (meta-GGA SCAN)

Data for a crystal of Be3OsS relaxed with PBEsol.

```
5
Lattice="4.191 0.000 0.000 0.000 4.191 0.000 0.000 0.000 4.191" Properties=species:S:1:pos:R:3 pbc="T T T"
Be 0.000 0.000 2.095
Be 0.000 2.095 0.000
Be 2.095 0.000 0.000
Os 0.000 0.000 0.000
S 2.095 2.095 2.095
```

Final energy: -17.96 eV/atom
Formation energy (no corrections): 0.956 eV/atom



[12]
## BeSb2Os (meta-GGA SCAN)

Data for a crystal of BeSb2Os relaxed with PBEsol.

```
16
Lattice="5.705 0.000 0.000 0.000 5.705 0.000 0.000 0.000 11.722" Properties=species:S:1:pos:R:3 pbc="T T T"
Be 0.000 0.000 0.000
Be 0.000 2.853 2.931
Be 2.853 0.000 8.792
Be 2.853 2.853 5.861
Sb 1.343 1.426 1.465
Sb 1.426 4.196 4.396
Sb 1.426 4.362 10.257
Sb 1.509 1.426 7.326
Sb 4.196 4.279 7.326
Sb 4.279 1.343 10.257
Sb 4.279 1.509 4.396
Sb 4.362 4.279 1.465
Os 0.000 0.000 5.861
Os 0.000 2.853 8.792
Os 2.853 0.000 2.931
Os 2.853 2.853 0.000
```

Final energy: -37.10 eV/atom
Formation energy (no corrections): 0.592 eV/atom